# 1
# AcCdMo

A geometry-optimized AcCdMo structure (PBE-GGA, OQMD via LeMat-Bulk).

## Properties
symmetry: F-43m (216)
relative energy among the computed polymorphs: 0 meV per atom
formation enthalpy at 0 K: 79 kJ per mole of atoms

a = 5.026 Å, b = 5.026 Å, c = 5.026 Å
α = 60.00°, β = 60.00°, γ = 60.00°
Sites, in units of the cell vectors:
1 Ac 0.250 0.250 0.250
2 Mo 0.000 0.000 0.000
3 Cd 0.750 0.750 0.750



# 2
# BaTbAl

A geometry-optimized BaTbAl structure (PBE-GGA, OQMD via LeMat-Bulk).

## Properties
symmetry: F-43m (216)

a = 5.450 Å, b = 5.450 Å, c = 5.450 Å
α = 60.00°, β = 60.00°, γ = 60.00°
Sites, in units of the cell vectors:
1 Ba 0.250 0.250 0.250
2 Tb 0.750 0.750 0.750
3 Al 0.000 0.000 0.000



# 3
# LuBeCuPb

A geometry-optimized LuBeCuPb structure (PBE-GGA, OQMD via LeMat-Bulk).

## Properties
symmetry: F-43m (216)
relative energy among the computed polymorphs: 0 meV per atom

a = 4.712 Å, b = 4.712 Å, c = 4.712 Å
α = 60.00°, β = 60.00°, γ = 60.00°
Sites, in units of the cell vectors:
1 Be 0.250 0.250 0.250
2 Cu 0.750 0.750 0.750
3 Pb 0.000 0.000 0.000
4 Lu 0.500 0.500 0.500



# 4
# ScFeCoB

A geometry-optimized ScFeCoB structure (PBE-GGA, OQMD via LeMat-Bulk).

## Properties
symmetry: F-43m (216)
relative energy among the computed polymorphs: 8 meV per atom

a = 4.020 Å, b = 4.020 Å, c = 4.020 Å
α = 60.00°, β = 60.00°, γ = 60.00°
Last column: magnetic moment on the atom in μB.
Sites, in units of the cell vectors:
1 Sc 0.000 0.000 0.000  -0.01
2 Fe 0.500 0.500 0.500  2.26
3 Co 0.750 0.750 0.750  1.58
4 B 0.250 0.250 0.250  0.04



Number 1: E_tot -13.39 eV/cell. Number 2: E_tot -9.73 eV/cell. Number 3: E_tot -15.15 eV/cell. Number 4: E_tot -27.90 eV/cell.